# 1
Compound: PaMnN
Source: Alexandria
Functional: PBE-GGA
Structure: relaxed

Summary:
- N(E_F): 2.28 states/eV/f.u.
- ρ: 11.873 g/cm3
- Formation energy from raw total energies: -768.8 meV/atom
- E above lowest polymorph: 0.000 eV/f.u.

```
PaMnN
1.0
3.6237 0.0000 0.0000
0.0000 3.6237 0.0000
0.0000 0.0000 6.3901
Pa Mn N
2 2 2
direct
0.2500 0.2500 0.2022
0.7500 0.7500 0.7978
0.2500 0.2500 0.5432
0.7500 0.7500 0.4568
0.2500 0.2500 0.8584
0.7500 0.7500 0.1416
```

***

# 2
Compound: FeSn3N
Source: Alexandria
Functional: PBE-GGA
Structure: relaxed

Summary:
- N(E_F): 4.53 states/eV/f.u.
- ρ: 7.355 g/cm3
- Formation energy from raw total energies: 809.0 meV/atom
- E above lowest polymorph: 0.000 eV/f.u.

```
FeSn3N
1.0
4.5816 0.0000 0.0000
0.0000 4.5816 0.0000
0.0000 0.0000 4.5816
Fe Sn N
1 3 1
direct
0.0000 0.0000 0.0000
0.0000 0.5000 0.5000
0.5000 0.0000 0.5000
0.5000 0.5000 0.0000
0.5000 0.5000 0.5000
```